1.
This record from the Alexandria database describes a geometry-optimized Cs2Tb2IrO6 structure. The functional is PBE-GGA.

## Properties
Calculated density ... 6.94 g/cm3
Formation energy (no corrections) ... -2074.9 meV/atom

The structure in CIF format:
```
data_Cs2Tb2IrO6
_cell_length_a 5.9150
_cell_length_b 10.1436
_cell_length_c 7.1818
_cell_angle_alpha 90.00
_cell_angle_beta 104.45
_cell_angle_gamma 90.00
_space_group_name_H-M_alt 'C 1 2/m 1'
_space_group_IT_number 12
loop_
_space_group_symop_operation_xyz
'x,y,z'
'-x,-y,-z'
'-x,y,-z'
'x,-y,z'
'x+1/2,y+1/2,z'
'-x+1/2,-y+1/2,-z'
'-x+1/2,y+1/2,-z'
'x+1/2,-y+1/2,z'
loop_
_atom_site_label
_atom_site_type_symbol
_atom_site_fract_x
_atom_site_fract_y
_atom_site_fract_z
Cs1 Cs 0.0000 0.1653 0.0000
Tb1 Tb 0.0000 0.3348 0.5000
Ir1 Ir 0.0000 0.0000 0.5000
O1 O 0.2003 0.1545 0.6547
O2 O 0.2437 0.5000 0.6569
```

2.
This record from the Alexandria database describes a geometry-optimized Cs2TbIr3O12 structure. The functional is PBE-GGA.

## Properties
Calculated density ... 6.63 g/cm3
Formation energy (no corrections) ... -1208.5 meV/atom

The structure in CIF format:
```
data_Cs2TbIr3O12
_cell_length_a 7.3305
_cell_length_b 7.3305
_cell_length_c 19.2737
_cell_angle_alpha 90.00
_cell_angle_beta 90.00
_cell_angle_gamma 120.00
_space_group_name_H-M_alt 'R -3 m'
_space_group_IT_number 166
_space_group_name_Hall '-R 3 2"'
loop_
_atom_site_label
_atom_site_type_symbol
_atom_site_fract_x
_atom_site_fract_y
_atom_site_fract_z
Cs1 Cs 0.0000 0.0000 0.1147
Tb1 Tb 0.0000 0.0000 0.5000
Ir1 Ir 0.0000 0.5000 0.0000
O1 O 0.0491 0.5245 0.0967
O2 O 0.0710 0.5355 0.3462
```

3.
This record from the Alexandria database describes a geometry-optimized CsTeIrO6 structure. The functional is PBE-GGA.

## Properties
Calculated density ... 6.64 g/cm3
Formation energy (no corrections) ... -1047.1 meV/atom

The structure in CIF format:
```
data_CsTeIrO6
_cell_length_a 7.2294
_cell_length_b 7.3760
_cell_length_c 10.2934
_cell_angle_alpha 90.00
_cell_angle_beta 90.00
_cell_angle_gamma 90.00
_space_group_name_H-M_alt 'I m m a'
_space_group_IT_number 74
_space_group_name_Hall '-I 2b 2'
loop_
_atom_site_label
_atom_site_type_symbol
_atom_site_fract_x
_atom_site_fract_y
_atom_site_fract_z
Cs1 Cs 0.0000 0.2500 0.1218
Te1 Te 0.0000 0.0000 0.5000
Ir1 Ir 0.2500 0.2500 0.7500
O1 O 0.0000 0.2500 0.4280
O2 O 0.0000 0.2500 0.8124
O3 O 0.2004 0.0507 0.6235
```

4.
This record from the Alexandria database describes a geometry-optimized CsTe2IrO8 structure. The functional is PBE-GGA.

## Properties
Calculated density ... 5.09 g/cm3
Formation energy (no corrections) ... -919.3 meV/atom

The structure in CIF format:
```
data_CsTe2IrO8
_cell_length_a 5.6170
_cell_length_b 5.6170
_cell_length_c 8.4573
_cell_angle_alpha 90.00
_cell_angle_beta 90.00
_cell_angle_gamma 120.00
_space_group_name_H-M_alt 'P -3'
_space_group_IT_number 147
loop_
_space_group_symop_operation_xyz
'x,y,z'
'-x,-y,-z'
'-y,x-y,z'
'y,-x+y,-z'
'-x+y,-x,z'
'x-y,x,-z'
loop_
_atom_site_label
_atom_site_type_symbol
_atom_site_fract_x
_atom_site_fract_y
_atom_site_fract_z
Cs1 Cs 0.0000 0.0000 0.0000
Te1 Te 0.3333 0.6667 0.6461
Ir1 Ir 0.0000 0.0000 0.5000
O1 O 0.0033 0.7115 0.3722
O2 O 0.3333 0.6667 0.8608
```

5.
This record from the Alexandria database describes a geometry-optimized CsThIr2O8 structure. The functional is PBE-GGA.

## Properties
Calculated density ... 5.33 g/cm3
Formation energy (no corrections) ... -1319.7 meV/atom

The structure in CIF format:
```
data_CsThIr2O8
_cell_length_a 6.0245
_cell_length_b 6.0245
_cell_length_c 8.6906
_cell_angle_alpha 90.00
_cell_angle_beta 90.00
_cell_angle_gamma 120.00
_space_group_name_H-M_alt 'P -3'
_space_group_IT_number 147
loop_
_space_group_symop_operation_xyz
'x,y,z'
'-x,-y,-z'
'-y,x-y,z'
'y,-x+y,-z'
'-x+y,-x,z'
'x-y,x,-z'
loop_
_atom_site_label
_atom_site_type_symbol
_atom_site_fract_x
_atom_site_fract_y
_atom_site_fract_z
Cs1 Cs 0.0000 0.0000 0.0000
Th1 Th 0.0000 0.0000 0.5000
Ir1 Ir 0.3333 0.6667 0.7559
O1 O 0.1701 0.3458 0.6602
O2 O 0.3333 0.6667 0.9596
```

6.
This record from the Alexandria database describes a geometry-optimized CsTiIrO6 structure. The functional is PBE-GGA.

## Properties
Calculated density ... 4.81 g/cm3
Formation energy (no corrections) ... -1538.3 meV/atom

The structure in CIF format:
```
data_CsTiIrO6
_cell_length_a 5.2611
_cell_length_b 5.2611
_cell_length_c 6.7544
_cell_angle_alpha 90.00
_cell_angle_beta 90.00
_cell_angle_gamma 120.00
_space_group_name_H-M_alt 'P 3 1 2'
_space_group_IT_number 149
loop_
_space_group_symop_operation_xyz
'x,y,z'
'-y,x-y,z'
'-x+y,-x,z'
'-y,-x,-z'
'-x+y,y,-z'
'x,x-y,-z'
loop_
_atom_site_label
_atom_site_type_symbol
_atom_site_fract_x
_atom_site_fract_y
_atom_site_fract_z
Cs1 Cs 0.0000 0.0000 0.0000
Ti1 Ti 0.3333 0.6667 0.5000
Ir1 Ir 0.6667 0.3333 0.5000
O1 O 0.4026 0.0079 0.6627
```

7.
This record from the Alexandria database describes a geometry-optimized Cs2TlIrO4 structure. The functional is PBE-GGA.

## Properties
Calculated density ... 4.51 g/cm3
Formation energy (no corrections) ... -882.8 meV/atom

The structure in CIF format:
```
data_Cs2TlIrO4
_cell_length_a 6.6750
_cell_length_b 14.2518
_cell_length_c 22.4957
_cell_angle_alpha 90.00
_cell_angle_beta 90.00
_cell_angle_gamma 90.00
_space_group_name_H-M_alt 'F d d d'
_space_group_IT_number 70
loop_
_space_group_symop_operation_xyz
'x,y,z'
'-x,-y,-z'
'-x+1/4,-y+1/4,z'
'x+1/4,y+1/4,-z'
'x,-y+1/4,-z+1/4'
'-x,y+1/4,z+1/4'
'-x+1/4,y,-z+1/4'
'x+1/4,-y,z+1/4'
'x,y+1/2,z+1/2'
'-x,-y+1/2,-z+1/2'
'-x+1/4,-y+3/4,z+1/2'
'x+1/4,y+3/4,-z+1/2'
'x,-y+3/4,-z+3/4'
'-x,y+3/4,z+3/4'
'-x+1/4,y+1/2,-z+3/4'
'x+1/4,-y+1/2,z+3/4'
'x+1/2,y,z+1/2'
'-x+1/2,-y,-z+1/2'
'-x+3/4,-y+1/4,z+1/2'
'x+3/4,y+1/4,-z+1/2'
'x+1/2,-y+1/4,-z+3/4'
'-x+1/2,y+1/4,z+3/4'
'-x+3/4,y,-z+3/4'
'x+3/4,-y,z+3/4'
'x+1/2,y+1/2,z'
'-x+1/2,-y+1/2,-z'
'-x+3/4,-y+3/4,z'
'x+3/4,y+3/4,-z'
'x+1/2,-y+3/4,-z+1/4'
'-x+1/2,y+3/4,z+1/4'
'-x+3/4,y+1/2,-z+1/4'
'x+3/4,-y+1/2,z+1/4'
loop_
_atom_site_label
_atom_site_type_symbol
_atom_site_fract_x
_atom_site_fract_y
_atom_site_fract_z
Cs1 Cs 0.1250 0.1250 0.3036
Tl1 Tl 0.1250 0.1250 0.1250
Ir1 Ir 0.1250 0.1250 0.6250
O1 O 0.0799 0.2815 0.8722
```

8.
This record from the Alexandria database describes a geometry-optimized Cs2TmIrO6 structure. The functional is PBE-GGA.

## Properties
Calculated density ... 5.53 g/cm3
Formation energy (no corrections) ... -1583.6 meV/atom

The structure in CIF format:
```
data_Cs2TmIrO6
_cell_length_a 6.6437
_cell_length_b 6.6437
_cell_length_c 5.6755
_cell_angle_alpha 90.00
_cell_angle_beta 90.00
_cell_angle_gamma 120.00
_space_group_name_H-M_alt 'P -3 m 1'
_space_group_IT_number 164
_space_group_name_Hall '-P 3 2"'
loop_
_atom_site_label
_atom_site_type_symbol
_atom_site_fract_x
_atom_site_fract_y
_atom_site_fract_z
Cs1 Cs 0.3333 0.6667 0.1574
Tm1 Tm 0.0000 0.0000 0.5000
Ir1 Ir 0.0000 0.0000 0.0000
O1 O 0.1325 0.2651 0.7889
```

9.
This record from the Alexandria database describes a geometry-optimized CsUIrO6 structure. The functional is PBE-GGA.

## Properties
Calculated density ... 7.03 g/cm3
Formation energy (no corrections) ... -2005.3 meV/atom

The structure in CIF format:
```
data_CsUIrO6
_cell_length_a 7.3029
_cell_length_b 7.9219
_cell_length_c 10.7641
_cell_angle_alpha 90.00
_cell_angle_beta 90.00
_cell_angle_gamma 90.00
_space_group_name_H-M_alt 'I m m a'
_space_group_IT_number 74
_space_group_name_Hall '-I 2b 2'
loop_
_atom_site_label
_atom_site_type_symbol
_atom_site_fract_x
_atom_site_fract_y
_atom_site_fract_z
Cs1 Cs 0.0000 0.2500 0.1164
U1 U 0.0000 0.0000 0.5000
Ir1 Ir 0.2500 0.2500 0.7500
O1 O 0.0000 0.2500 0.4248
O2 O 0.0000 0.2500 0.7980
O3 O 0.2015 0.0730 0.6233
```